Record 1
{
  "formula": "Tb2NpHgO8",
  "functional": "PBE-GGA",
  "state": "optimized geometry",
  "e_form_raw_ev_per_atom": -2.40,
  "lattice": [[4.006, 0.000, 0.000], [0.594, 5.295, 0.000], [0.159, 0.576, 7.701]],
  "species": ["Tb", "Tb", "Np", "Hg", "O", "O", "O", "O", "O", "O", "O", "O"],
  "fractional_positions": [[0.008, 0.020, 0.246], [0.992, 0.980, 0.754], [0.500, 0.500, 0.500], [0.500, 0.500, 0.000], [0.060, 0.729, 0.510], [0.085, 0.767, 0.019], [0.445, 0.241, 0.691], [0.458, 0.275, 0.270], [0.542, 0.725, 0.730], [0.555, 0.759, 0.309], [0.915, 0.233, 0.981], [0.940, 0.271, 0.490]]
}

Record 2
{
  "formula": "CeGdPuRh",
  "functional": "PBE-GGA",
  "state": "optimized geometry",
  "e_form_mev_per_atom": -115,
  "lattice": [[0.000, 3.616, 3.616], [3.616, 0.000, 3.616], [3.616, 3.616, 0.000]],
  "species": ["Ce", "Gd", "Pu", "Rh"],
  "fractional_positions": [[0.000, 0.000, 0.000], [0.500, 0.500, 0.500], [0.750, 0.750, 0.750], [0.250, 0.250, 0.250]]
}

Record 3
{
  "formula": "PmLuInTc",
  "functional": "PBE-GGA",
  "state": "optimized geometry",
  "e_form_mev_per_atom": -105,
  "lattice": [[0.000, 3.600, 3.600], [3.600, 0.000, 3.600], [3.600, 3.600, 0.000]],
  "species": ["Pm", "Lu", "In", "Tc"],
  "fractional_positions": [[0.000, 0.000, 0.000], [0.500, 0.500, 0.500], [0.750, 0.750, 0.750], [0.250, 0.250, 0.250]]
}

Record 4
{
  "formula": "Li2Y2Ru",
  "functional": "PBE-GGA",
  "state": "optimized geometry",
  "e_form_mev_per_atom": -65,
  "lattice": [[-1.733, 1.733, 9.329], [1.733, -1.733, 9.329], [1.733, 1.733, -9.329]],
  "species": ["Li", "Li", "Y", "Y", "Ru"],
  "fractional_positions": [[0.250, 0.750, 0.500], [0.750, 0.250, 0.500], [0.088, 0.088, 0.000], [0.912, 0.912, 0.000], [0.500, 0.500, 0.000]]
}

Record 5
{
  "formula": "Y3CdGa3",
  "functional": "PBE-GGA",
  "state": "optimized geometry",
  "e_form_mev_per_atom": -588,
  "lattice": [[5.539, -2.221, 0.000], [5.539, 2.221, 0.000], [-4.869, 0.000, 13.367]],
  "species": ["Y", "Y", "Y", "Y", "Y", "Y", "Cd", "Cd", "Ga", "Ga", "Ga", "Ga", "Ga", "Ga"],
  "fractional_positions": [[0.019, 0.019, 0.372], [0.106, 0.106, 0.924], [0.235, 0.235, 0.219], [0.765, 0.765, 0.781], [0.894, 0.894, 0.076], [0.981, 0.981, 0.628], [0.262, 0.262, 0.599], [0.738, 0.738, 0.401], [0.382, 0.382, 0.446], [0.389, 0.389, 0.926], [0.477, 0.477, 0.775], [0.523, 0.523, 0.225], [0.611, 0.611, 0.074], [0.618, 0.618, 0.554]]
}

Record 6
{
  "formula": "Ac2Ni4Sn3Au",
  "functional": "PBE-GGA",
  "state": "optimized geometry",
  "e_form_mev_per_atom": -487,
  "lattice": [[4.561, 0.000, 0.000], [0.000, 4.561, 0.000], [0.000, 0.000, 10.239]],
  "species": ["Ac", "Ac", "Ni", "Ni", "Ni", "Ni", "Sn", "Sn", "Sn", "Au"],
  "fractional_positions": [[0.000, 0.500, 0.249], [0.500, 0.000, 0.751], [0.000, 0.000, 0.000], [0.000, 0.500, 0.630], [0.500, 0.000, 0.370], [0.500, 0.500, 0.000], [0.000, 0.500, 0.880], [0.500, 0.000, 0.120], [0.500, 0.500, 0.500], [0.000, 0.000, 0.500]]
}

Record 7
{
  "formula": "FeCoS2",
  "functional": "PBE-GGA",
  "state": "optimized geometry",
  "e_form_raw_ev_per_atom": 0.14,
  "lattice": [[0.000, 2.890, 2.890], [2.890, 0.000, 2.890], [2.890, 2.890, 0.000]],
  "species": ["Fe", "Co", "S", "S"],
  "fractional_positions": [[0.000, 0.000, 0.000], [0.500, 0.500, 0.500], [0.250, 0.250, 0.250], [0.750, 0.750, 0.750]]
}

Record 8
{
  "formula": "Th3Ga2Fe",
  "functional": "PBE-GGA",
  "state": "optimized geometry",
  "e_form_mev_per_atom": -348,
  "lattice": [[12.132, 0.000, 0.000], [0.000, 4.177, 0.000], [0.000, 0.000, 11.593]],
  "species": ["Th", "Th", "Th", "Th", "Th", "Th", "Th", "Th", "Th", "Th", "Th", "Th", "Ga", "Ga", "Ga", "Ga", "Ga", "Ga", "Ga", "Ga", "Fe", "Fe", "Fe", "Fe"],
  "fractional_positions": [[0.046, 0.250, 0.128], [0.120, 0.750, 0.551], [0.234, 0.250, 0.791], [0.266, 0.750, 0.291], [0.380, 0.250, 0.051], [0.454, 0.750, 0.628], [0.546, 0.250, 0.372], [0.620, 0.750, 0.949], [0.734, 0.250, 0.709], [0.766, 0.750, 0.209], [0.880, 0.250, 0.449], [0.954, 0.750, 0.872], [0.014, 0.750, 0.313], [0.193, 0.750, 0.996], [0.307, 0.250, 0.496], [0.486, 0.250, 0.813], [0.514, 0.750, 0.187], [0.693, 0.750, 0.504], [0.807, 0.250, 0.004], [0.986, 0.250, 0.687], [0.131, 0.250, 0.371], [0.369, 0.750, 0.871], [0.631, 0.250, 0.129], [0.869, 0.750, 0.629]]
}

Number 1: uncorrected energy -7.58 eV per atom, total magnetization 0.00 μB/f.u.. Number 2: uncorrected energy -10.54 eV per atom, total magnetization 15.55 μB/f.u.. Number 3: uncorrected energy -5.70 eV per atom, total magnetization 0.00 μB/f.u.. Number 4: uncorrected energy -5.27 eV per atom, total magnetization 0.00 μB/f.u.. Number 5: uncorrected energy -4.79 eV per atom, total magnetization 0.00 μB/f.u.. Number 6: uncorrected energy -5.15 eV per atom, total magnetization 0.00 μB/f.u.. Number 7: uncorrected energy -5.82 eV per atom, total magnetization 2.61 μB/f.u.. Number 8: uncorrected energy -6.48 eV per atom, total magnetization 0.00 μB/f.u..